(1)
DFT (PBE) results for a geometry-optimized Li6Hg12Au structure.

Lattice parameters (Å, degrees): 7.3968 7.3968 7.3968 91.04 91.04 91.04
Closest atoms and distances in Å follow each position.
Fractional coordinates of all 19 atoms:
Hg 0.9973 0.8479 0.6332  3 Li 2.89-2.90, 1 Au 2.92, 2 Hg 2.98-3.02
Li 0.7220 0.8899 0.2650  7 Hg 2.89-3.13, 1 Au 2.98, 2 Li 3.11
Hg 0.5633 0.2022 0.4508  4 Li 2.90-3.13, 4 Hg 2.98-3.22
Li 0.2650 0.7220 0.8899  7 Hg 2.89-3.13, 1 Au 2.98, 2 Li 3.11
Hg 0.6332 0.9973 0.8479  3 Li 2.89-2.90, 1 Au 2.92, 2 Hg 2.98-3.02
Hg 0.3668 0.0027 0.1521  3 Li 2.89-2.90, 1 Au 2.92, 2 Hg 2.98-3.02
Hg 0.4367 0.7978 0.5492  4 Li 2.90-3.13, 4 Hg 2.98-3.22
Hg 0.2022 0.4508 0.5633  4 Li 2.90-3.13, 4 Hg 2.98-3.22
Au 0.0000 0.0000 0.0000  6 Hg 2.92, 6 Li 2.98
Hg 0.7978 0.5492 0.4367  4 Li 2.90-3.13, 4 Hg 2.98-3.22
Hg 0.4508 0.5633 0.2022  4 Li 2.90-3.13, 4 Hg 2.98-3.22
Li 0.7350 0.2780 0.1101  7 Hg 2.89-3.13, 1 Au 2.98, 2 Li 3.11
Hg 0.0027 0.1521 0.3668  3 Li 2.89-2.90, 1 Au 2.92, 2 Hg 2.98-3.02
Hg 0.1521 0.3668 0.0027  3 Li 2.89-2.90, 1 Au 2.92, 2 Hg 2.98-3.02
Hg 0.5492 0.4367 0.7978  4 Li 2.90-3.13, 4 Hg 2.98-3.22
Hg 0.8479 0.6332 0.9973  3 Li 2.89-2.90, 1 Au 2.92, 2 Hg 2.98-3.02
Li 0.8899 0.2650 0.7220  7 Hg 2.89-3.13, 1 Au 2.98, 2 Li 3.11
Li 0.2780 0.1101 0.7350  7 Hg 2.89-3.13, 1 Au 2.98, 2 Li 3.11
Li 0.1101 0.7350 0.2780  7 Hg 2.89-3.13, 1 Au 2.98, 2 Li 3.11

Calculated values
The formation enthalpy at 0 K comes out at -0.2308 eV/atom. The calculation puts the raw total energy at -1.198 eV/atom.

=====

(2)
DFT (PBE) results for a geometry-optimized Sm2DyFe9 structure.

Lattice parameters (Å, degrees): 5.1316 5.1316 8.7302 72.91 72.91 60.00
Closest atoms and distances in Å follow each position.
Fractional coordinates of all 12 atoms:
Fe 0.5786 0.5786 0.7602  7 Fe 2.46-2.59
Fe 0.5000 0.5000 0.5000  6 Fe 2.59
Fe 0.4214 0.4214 0.2398  7 Fe 2.46-2.59
Fe 0.3328 0.3328 0.0016  6 Fe 2.46-2.47
Fe 0.4214 0.9174 0.2398  7 Fe 2.46-2.59
Sm 0.1415 0.1415 0.5755  12 Fe 2.98-3.13, 3 Sm 3.21
Fe 0.6672 0.6672 0.9984  6 Fe 2.46-2.47
Fe 0.9174 0.4214 0.2398  7 Fe 2.46-2.59
Fe 0.0826 0.5786 0.7602  7 Fe 2.46-2.59
Fe 0.5786 0.0826 0.7602  7 Fe 2.46-2.59
Dy 0.0000 0.0000 0.0000  18 Fe 2.96-3.23
Sm 0.8585 0.8585 0.4245  12 Fe 2.98-3.13, 3 Sm 3.21

Calculated values
The formation enthalpy at 0 K comes out at -0.0188 eV/atom. The calculation puts the raw total energy at -7.536 eV/atom.